[1]
Computed, not measured: a relaxed structure of CaPm6Sm3Ho2 at the GGA-PBE level of DFT.

The space-group type is C2/m. As for the formation enthalpy at 0 K: 0.038 eV/atom. The size of the total moment comes out at 0.00 Bohr magnetons per cell. The value obtained for the raw total energy is -4.447 eV/atom.

Cell lengths 6.321, 6.321, 11.979 Å; angles 95.01, 95.01, 120.00 degrees
Positions (direct):
Ca (0.000, 0.000, 0.000)
Pm (0.916, 0.576, 0.750)
Pm (0.743, 0.743, 0.251)
Pm (0.084, 0.424, 0.250)
Pm (0.576, 0.916, 0.750)
Pm (0.257, 0.257, 0.749)
Pm (0.424, 0.084, 0.250)
Sm (0.166, 0.834, 0.500)
Sm (0.834, 0.166, 0.500)
Sm (0.500, 0.500, 0.500)
Ho (0.333, 0.667, 0.000)
Ho (0.667, 0.333, 0.000)

=====

[2]
Computed, not measured: a relaxed structure of TiPbAu at the GGA-PBE level of DFT.

The space-group type is P-1. As for the formation enthalpy at 0 K: -0.058 eV/atom. The size of the total moment comes out at 1.74 Bohr magnetons per cell. The value obtained for the raw total energy is -5.019 eV/atom.

Cell lengths 3.218, 6.385, 6.972 Å; angles 67.94, 89.98, 75.49 degrees
Positions (direct):
Pb (0.849, 0.301, 0.390)
Pb (0.151, 0.699, 0.610)
Au (0.848, 0.307, 0.956)
Au (0.152, 0.693, 0.044)
Ti (0.529, 0.942, 0.214)
Ti (0.471, 0.058, 0.786)